Entry 1:
The following is a DFT calculation (PBE) of CaBeTe2 after structural relaxation.

## Properties
D(E_F) ... 1.15 states/eV/cell
Total DFT energy (no corrections) ... -3.165 eV per atom
Uncorrected formation energy ... -0.6 eV per formula unit

a b c (Å): 4.0084 4.0084 6.3498
angles (deg): 90.00 90.00 90.00
With the nearest neighbours (Å) after each atom.
Fractional positions:
Ca1 0.0000 0.0000 0.0000  2 Be 3.17, 8 Te 3.27
Be1 0.0000 0.0000 0.5000  2 Ca 3.17, 8 Te 3.23
Te1 0.5000 0.5000 0.2573  2 Te 3.08-3.27, 4 Be 3.23, 4 Ca 3.27
Te2 0.5000 0.5000 0.7427  2 Te 3.08-3.27, 4 Be 3.23, 4 Ca 3.27

***

Entry 2:
The following is a DFT calculation (PBE) of CaBeTe2 after structural relaxation.

## Properties
D(E_F) ... 2.60 states/eV/cell
Total DFT energy (no corrections) ... -3.135 eV per atom
Uncorrected formation energy ... -0.5 eV per formula unit

a b c (Å): 5.1421 5.1421 5.1421
angles (deg): 113.33 113.33 101.99
With the nearest neighbours (Å) after each atom.
Fractional positions:
Ca1 0.0000 0.0000 0.0000  2 Be 3.24, 8 Te 3.26
Be1 0.5000 0.5000 0.0000  2 Ca 3.24, 8 Te 3.26
Te1 0.2500 0.7500 0.5000  2 Te 3.24, 4 Ca 3.26, 4 Be 3.26
Te2 0.7500 0.2500 0.5000  2 Te 3.24, 4 Ca 3.26, 4 Be 3.26

***

Entry 3:
The following is a DFT calculation (PBE) of Ca2BeTe after structural relaxation.

## Properties
D(E_F) ... 2.03 states/eV/cell
Total DFT energy (no corrections) ... -2.856 eV per atom
Uncorrected formation energy ... -0.6 eV per formula unit

a b c (Å): 3.6799 3.6799 8.2709
angles (deg): 90.00 90.00 90.00
With the nearest neighbours (Å) after each atom.
Fractional positions:
Ca1 0.0000 0.0000 0.0000  1 Te 3.08, 4 Be 3.30
Ca2 0.5000 0.5000 0.3792  1 Be 3.10, 4 Te 3.31
Be1 0.5000 0.5000 0.7541  4 Te 2.81, 1 Ca 3.10
Te1 0.0000 0.0000 0.6273  4 Be 2.81, 1 Ca 3.08

***

Entry 4:
The following is a DFT calculation (PBE) of CaBeTe2 after structural relaxation.

## Properties
D(E_F) ... 1.35 states/eV/cell
Total DFT energy (no corrections) ... -3.239 eV per atom
Uncorrected formation energy ... -0.9 eV per formula unit

a b c (Å): 6.8074 6.8074 6.8074
angles (deg): 144.43 144.43 51.18
With the nearest neighbours (Å) after each atom.
Fractional positions:
Ca1 0.0000 0.0000 0.0000  4 Te 2.94
Be1 0.7500 0.2500 0.5000  4 Te 2.94
Te1 0.2500 0.7500 0.5000  4 Be 2.94
Te2 0.5000 0.5000 0.0000  4 Ca 2.94